1.
K2PmH12Rh3: optimized geometry, PBE.

a b c (Å): 6.3265 6.3265 6.3265
angles (deg): 63.71 63.71 63.71
Sites, in units of the cell vectors:
H: 0.4264 0.8724 0.8724
H: 0.8724 0.8724 0.4264
H: 0.2834 0.2834 0.8954
H: 0.7166 0.7166 0.1046
H: 0.7166 0.1046 0.7166
H: 0.2834 0.8954 0.2834
H: 0.1276 0.1276 0.5736
H: 0.1276 0.5736 0.1276
H: 0.8724 0.4264 0.8724
H: 0.1046 0.7166 0.7166
H: 0.5736 0.1276 0.1276
H: 0.8954 0.2834 0.2834
Pm: 0.0000 0.0000 0.0000
Rh: 0.0000 0.0000 0.5000
Rh: 0.5000 0.0000 0.0000
Rh: 0.0000 0.5000 0.0000
K: 0.3920 0.3920 0.3920
K: 0.6080 0.6080 0.6080

The raw total energy is -75.1 eV for the cell shown. Its space-group type is R-3m, No. 166.


2.
K5Pr3H12: optimized geometry, PBE.

a b c (Å): 12.3594 12.3594 12.3594
angles (deg): 109.47 109.47 109.47
Each line ends with the local moment (μB).
Sites, in units of the cell vectors:
K: 0.0000 0.0000 0.5000  0.01
K: 0.5000 0.0000 0.5000  0.01
K: 0.7500 0.6250 0.3750  0.01
K: 0.7500 0.1250 0.8750  0.01
K: 0.5000 0.5000 0.0000  0.01
K: 0.1250 0.3750 0.2500  0.01
K: 0.8750 0.2500 0.6250  0.01
K: 0.1250 0.7500 0.3750  0.01
K: 0.0000 0.5000 0.5000  0.01
K: 0.3750 0.1250 0.7500  0.01
K: 0.2500 0.3750 0.6250  0.01
K: 0.8750 0.6250 0.7500  0.01
K: 0.0000 0.5000 0.0000  0.01
K: 0.6250 0.7500 0.8750  0.01
K: 0.6250 0.8750 0.2500  0.01
K: 0.0000 0.0000 0.0000  0.01
K: 0.3750 0.2500 0.1250  0.01
K: 0.5000 0.5000 0.5000  0.01
K: 0.5000 0.0000 0.0000  0.01
K: 0.2500 0.8750 0.1250  0.01
H: 0.7431 0.5886 0.1656  0.00
H: 0.5770 0.6544 0.4114  0.00
H: 0.8456 0.2569 0.4225  0.00
H: 0.6656 0.2431 0.5886  0.00
H: 0.6544 0.0775 0.2431  0.00
H: 0.5775 0.2431 0.1544  0.00
H: 0.1544 0.7431 0.5775  0.00
H: 0.1656 0.0770 0.9225  0.00
H: 0.9114 0.8344 0.7569  0.00
H: 0.2569 0.4114 0.8344  0.00
H: 0.2431 0.6656 0.0886  0.00
H: 0.5886 0.8456 0.4230  0.00
H: 0.0886 0.9230 0.3456  0.00
H: 0.7431 0.1544 0.0775  0.00
H: 0.9225 0.3456 0.2569  0.00
H: 0.9225 0.5770 0.1656  0.00
H: 0.4114 0.1544 0.5770  0.00
H: 0.5886 0.7431 0.6656  0.00
H: 0.3344 0.7569 0.4114  0.00
H: 0.4230 0.0775 0.3344  0.00
H: 0.0886 0.1656 0.2431  0.00
H: 0.9114 0.0770 0.6544  0.00
H: 0.4225 0.7569 0.8456  0.00
H: 0.6656 0.4225 0.5770  0.00
H: 0.8344 0.9114 0.2569  0.00
H: 0.3456 0.4230 0.0886  0.00
H: 0.0775 0.6544 0.7431  0.00
H: 0.9230 0.8344 0.5775  0.00
H: 0.8344 0.9230 0.0775  0.00
H: 0.5775 0.3344 0.9230  0.00
H: 0.2569 0.8456 0.9225  0.00
H: 0.0770 0.9114 0.1544  0.00
H: 0.3456 0.9225 0.7569  0.00
H: 0.7569 0.4225 0.3456  0.00
H: 0.0770 0.1656 0.4225  0.00
H: 0.6544 0.5770 0.9114  0.00
H: 0.4225 0.6656 0.0770  0.00
H: 0.7569 0.3344 0.9114  0.00
H: 0.9230 0.0886 0.8456  0.00
H: 0.4230 0.3456 0.5886  0.00
H: 0.0775 0.4230 0.8344  0.00
H: 0.3344 0.5775 0.4230  0.00
H: 0.1656 0.0886 0.7431  0.00
H: 0.4114 0.2569 0.3344  0.00
H: 0.2431 0.5775 0.6544  0.00
H: 0.8456 0.5886 0.9230  0.00
H: 0.1544 0.4114 0.0770  0.00
H: 0.5770 0.9225 0.6656  0.00
Pr: 0.3750 0.6250 0.2500  0.10
Pr: 0.6250 0.3750 0.7500  0.10
Pr: 0.1250 0.8750 0.7500  0.10
Pr: 0.1250 0.2500 0.8750  0.10
Pr: 0.6250 0.2500 0.3750  0.10
Pr: 0.8750 0.1250 0.2500  0.10
Pr: 0.7500 0.3750 0.1250  0.10
Pr: 0.7500 0.8750 0.6250  0.10
Pr: 0.3750 0.7500 0.6250  0.10
Pr: 0.8750 0.7500 0.1250  0.10
Pr: 0.2500 0.1250 0.3750  0.10
Pr: 0.2500 0.6250 0.8750  0.10

The raw total energy is -253.2 eV for the cell shown. Its space-group type is Ia-3d, No. 230.


3.
K2PrH6: optimized geometry, PBE.

a b c (Å): 6.3218 6.3218 6.3218
angles (deg): 60.00 60.00 60.00
Each line ends with the local moment (μB).
Sites, in units of the cell vectors:
H: 0.7466 0.2534 0.2534  0.07
H: 0.7466 0.7466 0.2534  0.07
H: 0.2534 0.2534 0.7466  0.07
H: 0.2534 0.7466 0.2534  0.07
H: 0.2534 0.7466 0.7466  0.07
H: 0.7466 0.2534 0.7466  0.07
Pr: 0.0000 0.0000 0.0000  0.01
K: 0.7500 0.7500 0.7500  0.00
K: 0.2500 0.2500 0.2500  0.00

The raw total energy is -25.2 eV for the cell shown. Its space-group type is Fm-3m, No. 225.


4.
KPr2H: optimized geometry, PBE.

a b c (Å): 3.7662 3.7662 10.7896
angles (deg): 79.95 79.95 60.00
Sites, in units of the cell vectors:
H: 0.5000 0.5000 0.5000
Pr: 0.8779 0.8779 0.3663
Pr: 0.1221 0.1221 0.6337
K: 0.0000 0.0000 0.0000

The raw total energy is -13.9 eV for the cell shown. Its space-group type is R-3m, No. 166.


5.
KPrH6Pt2: optimized geometry, PBE.

a b c (Å): 6.3533 6.3533 7.7777
angles (deg): 104.81 104.81 87.58
Sites, in units of the cell vectors:
H: 0.3220 0.6348 0.4440
H: 0.6780 0.3652 0.5560
H: 0.0784 0.7373 0.7054
H: 0.7373 0.0784 0.2054
H: 0.9216 0.2627 0.2946
H: 0.6708 0.8145 0.3301
H: 0.2627 0.9216 0.7946
H: 0.6348 0.3220 0.9440
H: 0.3292 0.1855 0.6699
H: 0.3652 0.6780 0.0560
H: 0.8145 0.6708 0.8301
H: 0.1855 0.3292 0.1699
Pt: 0.8846 0.5560 0.6347
Pt: 0.1154 0.4440 0.3654
Pt: 0.4440 0.1154 0.8654
Pt: 0.5560 0.8846 0.1346
K: 0.1028 0.8972 0.2500
K: 0.8972 0.1028 0.7500
Pr: 0.4277 0.5723 0.7500
Pr: 0.5723 0.4277 0.2500

The raw total energy is -84.4 eV for the cell shown. Its space-group type is C2/c, No. 15.


6.
KPrH8Pt2: optimized geometry, PBE.

a b c (Å): 4.2653 4.2653 9.8138
angles (deg): 77.45 77.45 60.00
Sites, in units of the cell vectors:
K: 0.0000 0.0000 0.0000
H: 0.0949 0.5445 0.8160
H: 0.5445 0.5446 0.8160
H: 0.4554 0.9051 0.1840
H: 0.4555 0.4554 0.1840
H: 0.5446 0.0949 0.8160
H: 0.9051 0.4555 0.1840
H: 0.8205 0.8205 0.5385
H: 0.1795 0.1795 0.4615
Pr: 0.5000 0.5000 0.5000
Pt: 0.7600 0.7600 0.7201
Pt: 0.2400 0.2400 0.2799

The raw total energy is -46.1 eV for the cell shown. Its space-group type is R-3m, No. 166.


7.
K3H3Pt: optimized geometry, PBE.

a b c (Å): 5.1382 6.0477 6.0477
angles (deg): 112.31 106.45 106.45
Sites, in units of the cell vectors:
K: 0.9854 0.0000 0.3852
K: 0.6002 0.6148 0.6148
K: 0.9854 0.3852 0.0000
H: 0.4503 0.2947 0.0000
H: 0.4503 0.0000 0.2947
H: 0.1557 0.7053 0.7053
Pt: 0.3476 0.0000 0.0000

The raw total energy is -20.8 eV for the cell shown. Its space-group type is R3m, No. 160.


8.
KH3Pt: optimized geometry, PBE.

a b c (Å): 3.7818 3.7818 3.7818
angles (deg): 90.00 90.00 90.00
Sites, in units of the cell vectors:
Pt: 0.0000 0.0000 0.0000
K: 0.5000 0.5000 0.5000
H: 0.0000 0.5000 0.0000
H: 0.0000 0.0000 0.5000
H: 0.5000 0.0000 0.0000

The distance to the lowest polymorph of the same formula is 0 meV per atom. Its space-group type is Pm-3m, No. 221.


9.
K2HPt: optimized geometry, PBE.

a b c (Å): 5.3478 5.3478 5.3478
angles (deg): 60.00 60.00 60.00
Each line ends with the local moment (μB).
Sites, in units of the cell vectors:
K: 0.7500 0.7500 0.7500  0.00
K: 0.2500 0.2500 0.2500  0.00
Pt: 0.5000 0.5000 0.5000  0.51
H: 0.0000 0.0000 0.0000  0.15

The distance to the lowest polymorph of the same formula is 525 meV per atom. Its space-group type is Fm-3m, No. 225.


10.
K3H5Pt: optimized geometry, PBE.

a b c (Å): 7.2922 7.2922 7.9649
angles (deg): 117.24 117.24 90.00
Sites, in units of the cell vectors:
H: 0.2568 0.7568 0.2970
H: 0.4598 0.7432 0.7030
H: 0.2432 0.9598 0.7030
H: 0.7432 0.2432 0.7030
H: 0.0000 0.0000 0.0000
H: 0.5000 0.5000 0.0000
H: 0.7568 0.0402 0.2970
H: 0.0402 0.5402 0.2970
H: 0.9598 0.4598 0.7030
H: 0.5402 0.2568 0.2970
K: 0.1880 0.3120 0.0000
K: 0.8120 0.6880 0.0000
K: 0.3120 0.8120 0.0000
K: 0.2500 0.2500 0.5000
K: 0.6880 0.1880 0.0000
K: 0.7500 0.7500 0.5000
Pt: 0.2500 0.7500 0.5000
Pt: 0.7500 0.2500 0.5000

The distance to the lowest polymorph of the same formula is 249 meV per atom. Its space-group type is I4/mcm, No. 140.


11.
KH3Pt: optimized geometry, PBE.

a b c (Å): 5.3103 7.4191 7.4191
angles (deg): 73.79 81.40 81.40
Sites, in units of the cell vectors:
H: 0.1680 0.8649 0.7381
H: 0.3475 0.6039 0.7368
H: 0.6680 0.7381 0.8649
H: 0.8475 0.7368 0.6039
H: 0.4058 0.9342 0.4290
H: 0.6525 0.3961 0.2632
H: 0.9058 0.4290 0.9342
H: 0.8320 0.1351 0.2619
H: 0.5942 0.0658 0.5710
H: 0.0942 0.5710 0.0658
H: 0.1525 0.2632 0.3961
H: 0.3320 0.2619 0.1351
K: 0.2500 0.1476 0.8524
K: 0.7500 0.8524 0.1476
K: 0.7500 0.3671 0.6329
K: 0.2500 0.6329 0.3671
Pt: 0.0127 0.6547 0.8185
Pt: 0.4873 0.1815 0.3453
Pt: 0.9873 0.3453 0.1815
Pt: 0.5127 0.8185 0.6547

The distance to the lowest polymorph of the same formula is 93 meV per atom. Its space-group type is C2/c, No. 15.


12.
K12H5Pt3: optimized geometry, PBE.

a b c (Å): 15.0020 15.0020 15.0020
angles (deg): 109.47 109.47 109.47
Sites, in units of the cell vectors:
K: 0.3219 0.7868 0.4160
K: 0.5941 0.6291 0.4160
K: 0.3219 0.5350 0.4059
K: 0.0941 0.9160 0.1291
K: 0.7868 0.4650 0.3709
K: 0.8709 0.2868 0.4650
K: 0.5350 0.3219 0.9059
K: 0.6291 0.5941 0.9160
K: 0.9650 0.3709 0.2868
K: 0.1291 0.7132 0.5350
K: 0.7868 0.3219 0.9160
K: 0.4650 0.7868 0.8709
K: 0.7132 0.5840 0.1781
K: 0.1291 0.4160 0.0941
K: 0.8219 0.9059 0.0350
K: 0.6291 0.0350 0.2132
K: 0.5941 0.9650 0.6781
K: 0.3709 0.9650 0.7868
K: 0.3709 0.4059 0.0840
K: 0.4650 0.6781 0.0941
K: 0.6781 0.2132 0.5840
K: 0.2132 0.5350 0.6291
K: 0.5350 0.2132 0.1291
K: 0.1781 0.0840 0.7132
K: 0.4160 0.2868 0.3219
K: 0.9650 0.5941 0.1781
K: 0.4059 0.0350 0.3219
K: 0.5840 0.7132 0.6781
K: 0.7132 0.1291 0.0350
K: 0.8219 0.9160 0.2868
K: 0.0840 0.1781 0.2132
K: 0.4160 0.1291 0.5941
K: 0.1781 0.0941 0.9650
K: 0.2132 0.6781 0.0840
K: 0.6781 0.4650 0.5941
K: 0.5840 0.8709 0.4059
K: 0.8709 0.5840 0.9059
K: 0.9160 0.8219 0.7868
K: 0.9160 0.0941 0.6291
K: 0.0350 0.6291 0.7132
K: 0.2868 0.8709 0.9650
K: 0.9059 0.0840 0.8709
K: 0.9059 0.8219 0.5350
K: 0.0840 0.9059 0.3709
K: 0.0941 0.1781 0.4650
K: 0.0350 0.4059 0.8219
K: 0.2868 0.4160 0.8219
K: 0.4059 0.3709 0.5840
H: 0.2500 0.8750 0.1250
H: 0.5000 0.0000 0.0000
H: 0.8750 0.2500 0.6250
H: 0.2500 0.3750 0.6250
H: 0.6250 0.7500 0.8750
H: 0.1250 0.3750 0.2500
H: 0.1250 0.7500 0.3750
H: 0.7500 0.6250 0.3750
H: 0.7500 0.1250 0.8750
H: 0.0000 0.0000 0.5000
H: 0.5000 0.5000 0.5000
H: 0.3750 0.2500 0.1250
H: 0.6250 0.8750 0.2500
H: 0.3750 0.1250 0.7500
H: 0.8750 0.6250 0.7500
H: 0.5000 0.0000 0.5000
H: 0.0000 0.5000 0.5000
H: 0.0000 0.5000 0.0000
H: 0.5000 0.5000 0.0000
H: 0.0000 0.0000 0.0000
Pt: 0.1250 0.8750 0.7500
Pt: 0.8750 0.1250 0.2500
Pt: 0.2500 0.6250 0.8750
Pt: 0.3750 0.7500 0.6250
Pt: 0.3750 0.6250 0.2500
Pt: 0.6250 0.2500 0.3750
Pt: 0.7500 0.3750 0.1250
Pt: 0.8750 0.7500 0.1250
Pt: 0.2500 0.1250 0.3750
Pt: 0.7500 0.8750 0.6250
Pt: 0.1250 0.2500 0.8750
Pt: 0.6250 0.3750 0.7500

The raw total energy is -196.0 eV for the cell shown. Its space-group type is Ia-3d, No. 230.


Let's list M_tot in order: 0.000 0.042 0.115 0.000 0.000 0.000 0.000 0.000 0.236 0.000 0.000 0.000 μB per atom.